# CaCeCdSi, relaxed, DFT PBE
# **DFT total energy**: -3.8723 eV/atom
# **ΔE_f (raw)**: -0.304 eV per atom
data_CaCeCdSi
_chemical_formula_sum 'Ca4 Ce4 Cd4 Si4'
_space_group_name_H-M_alt 'F -4 3 m'
_space_group_IT_number 216
_space_group_name_Hall 'F -4 2 3'
_cell_length_a 7.385
_cell_length_b 7.385
_cell_length_c 7.385
_cell_angle_alpha 90.00
_cell_angle_beta 90.00
_cell_angle_gamma 90.00
loop_
_atom_site_label
_atom_site_fract_x
_atom_site_fract_y
_atom_site_fract_z
_atom_site_occupancy
Ca1 0.000 0.000 0.000 1
Ce1 0.000 0.000 0.500 1
Cd1 0.250 0.250 0.750 1
Si1 0.250 0.250 0.250 1